[1]
Here is a relaxed Rb2Cd2RuO6 crystal from the Alexandria database. Energies are from PBE.

abc: 5.7506 5.7506 6.7797
angles: 99.03 99.03 118.31
Each line ends with the local moment (μB).
Sites, in units of the cell vectors:
O 0.2192 0.2192 0.3306  0.05
Cd 0.6627 0.3373 0.5000  0.03
Cd 0.3373 0.6627 0.5000  0.03
Ru 0.0000 0.0000 0.5000  0.92
O 0.6595 0.9448 0.3310  0.05
O 0.3405 0.0552 0.6690  0.05
O 0.7808 0.7808 0.6694  0.05
O 0.9448 0.6595 0.3310  0.05
Rb 0.1741 0.8259 0.0000  0.00
O 0.0552 0.3405 0.6690  0.05
Rb 0.8259 0.1741 0.0000  0.00

Summary:
Space group: C2/m (12)
Formation energy from raw total energies (eV/atom): -1.056


[2]
Here is a relaxed AcCdAu crystal from the Alexandria database. Energies are from PBE.

abc: 4.0111 4.9303 4.9303
angles: 120.00 90.00 90.00
Sites, in units of the cell vectors:
Cd 0.1666 0.3333 0.6667
Ac 0.6667 0.6667 0.3333
Au 0.1667 0.0000 0.0000

Summary:
Energy relative to the elements (eV/atom): -0.601
Space group: P-6m2 (187)
Distance to the lowest polymorph of the same formula (meV per atom): 53


For reference, E_tot by record: -4.95 -3.37 eV per atom.